Entry 1:
# GGA-PBE BaLiCr4, relaxed
data_BaLiCr4
_space_group_name_H-M_alt 'F -4 3 m'
_space_group_IT_number 216
_space_group_name_Hall 'F -4 2 3'
_cell_length_a 7.317
_cell_length_b 7.317
_cell_length_c 7.317
_cell_angle_alpha 90.00
_cell_angle_beta 90.00
_cell_angle_gamma 90.00
loop_
_atom_site_label
_atom_site_fract_x
_atom_site_fract_y
_atom_site_fract_z
Ba1 0.000 0.000 0.000
Li1 0.250 0.250 0.250
Cr1 0.117 0.117 0.617
# Magnetic moment   0.00 μB per formula unit
# Formation energy   1.07 eV/atom

Entry 2:
# GGA-PBE BaLiCr2, relaxed
data_BaLiCr2
_space_group_name_H-M_alt 'I 41/a m d'
_space_group_IT_number 141
_cell_length_a 4.250
_cell_length_b 4.250
_cell_length_c 20.477
_cell_angle_alpha 90.00
_cell_angle_beta 90.00
_cell_angle_gamma 90.00
loop_
_space_group_symop_operation_xyz
'x,y,z'
'-x,-y,-z'
'-y+1/4,x+3/4,z+1/4'
'y+1/4,-x+3/4,-z+1/4'
'-x+1/2,-y,z+1/2'
'x+1/2,y,-z+1/2'
'y+1/4,-x+1/4,z+3/4'
'-y+1/4,x+1/4,-z+3/4'
'x,-y,-z'
'-x,y,z'
'-y+1/4,-x+1/4,-z+3/4'
'y+1/4,x+1/4,z+3/4'
'-x+1/2,y,-z+1/2'
'x+1/2,-y,z+1/2'
'y+1/4,x+3/4,-z+1/4'
'-y+1/4,-x+3/4,z+1/4'
'x+1/2,y+1/2,z+1/2'
'-x+1/2,-y+1/2,-z+1/2'
'-y+3/4,x+1/4,z+3/4'
'y+3/4,-x+1/4,-z+3/4'
'-x,-y+1/2,z'
'x,y+1/2,-z'
'y+3/4,-x+3/4,z+1/4'
'-y+3/4,x+3/4,-z+1/4'
'x+1/2,-y+1/2,-z+1/2'
'-x+1/2,y+1/2,z+1/2'
'-y+3/4,-x+3/4,-z+1/4'
'y+3/4,x+3/4,z+1/4'
'-x,y+1/2,-z'
'x,-y+1/2,z'
'y+3/4,x+1/4,-z+3/4'
'-y+3/4,-x+1/4,z+3/4'
loop_
_atom_site_label
_atom_site_fract_x
_atom_site_fract_y
_atom_site_fract_z
Ba1 0.000 0.250 0.375
Li1 0.000 0.250 0.875
Cr1 0.000 0.000 0.000
# Magnetic moment   0.00 μB per formula unit
# Offset from the most stable computed form   67.4 kJ per mole of atoms
# Formation energy   1.25 eV/atom

Entry 3:
# GGA-PBE BaLi2Cr, relaxed
data_BaLi2Cr
_space_group_name_H-M_alt 'C 1 2/m 1'
_space_group_IT_number 12
_cell_length_a 9.040
_cell_length_b 4.607
_cell_length_c 6.205
_cell_angle_alpha 90.00
_cell_angle_beta 111.71
_cell_angle_gamma 90.00
loop_
_space_group_symop_operation_xyz
'x,y,z'
'-x,-y,-z'
'-x,y,-z'
'x,-y,z'
'x+1/2,y+1/2,z'
'-x+1/2,-y+1/2,-z'
'-x+1/2,y+1/2,-z'
'x+1/2,-y+1/2,z'
loop_
_atom_site_label
_atom_site_fract_x
_atom_site_fract_y
_atom_site_fract_z
Ba1 0.000 0.000 0.000
Li1 0.202 0.000 0.599
Cr1 0.000 0.500 0.500
# Magnetic moment   4.65 μB per formula unit
# Offset from the most stable computed form   2.0 kJ per mole of atoms
# Formation energy   0.45 eV/atom

Entry 4:
# GGA-PBE BaLiCr2, relaxed
data_BaLiCr2
_space_group_name_H-M_alt 'I m m 2'
_space_group_IT_number 44
_cell_length_a 4.146
_cell_length_b 5.572
_cell_length_c 8.933
_cell_angle_alpha 90.00
_cell_angle_beta 90.00
_cell_angle_gamma 90.00
loop_
_space_group_symop_operation_xyz
'x,y,z'
'-x,-y,z'
'-x,y,z'
'x,-y,z'
'x+1/2,y+1/2,z+1/2'
'-x+1/2,-y+1/2,z+1/2'
'-x+1/2,y+1/2,z+1/2'
'x+1/2,-y+1/2,z+1/2'
loop_
_atom_site_label
_atom_site_fract_x
_atom_site_fract_y
_atom_site_fract_z
Ba1 0.000 0.000 0.000
Li1 0.000 0.500 0.200
Cr1 0.000 0.000 0.446
Cr2 0.000 0.500 0.790
# Magnetic moment   0.20 μB per formula unit
# Offset from the most stable computed form   15.1 kJ per mole of atoms
# Formation energy   0.71 eV/atom

Entry 5:
# GGA-PBE BaLiCr2, relaxed
data_BaLiCr2
_space_group_name_H-M_alt 'P 4/m m m'
_space_group_IT_number 123
_space_group_name_Hall '-P 4 2'
_cell_length_a 3.726
_cell_length_b 3.726
_cell_length_c 7.762
_cell_angle_alpha 90.00
_cell_angle_beta 90.00
_cell_angle_gamma 90.00
loop_
_atom_site_label
_atom_site_fract_x
_atom_site_fract_y
_atom_site_fract_z
Ba1 0.000 0.000 0.000
Li1 0.000 0.000 0.500
Cr1 0.500 0.500 0.313
# Magnetic moment   9.41 μB per formula unit
# Offset from the most stable computed form   33.7 kJ per mole of atoms
# Formation energy   0.90 eV/atom

Entry 6:
# GGA-PBE Ba3LiCr, relaxed
data_Ba3LiCr
_space_group_name_H-M_alt 'P m -3 m'
_space_group_IT_number 221
_space_group_name_Hall '-P 4 2 3'
_cell_length_a 6.338
_cell_length_b 6.338
_cell_length_c 6.338
_cell_angle_alpha 90.00
_cell_angle_beta 90.00
_cell_angle_gamma 90.00
loop_
_atom_site_label
_atom_site_fract_x
_atom_site_fract_y
_atom_site_fract_z
Ba1 0.000 0.000 0.500
Li1 0.000 0.000 0.000
Cr1 0.500 0.500 0.500
# Magnetic moment   4.92 μB per formula unit
# Offset from the most stable computed form   0.0 kJ per mole of atoms
# Formation energy   0.70 eV/atom